[1]
An optimized crystal structure of CaPbN2O, computed with PBE.

abc: 4.660 4.660 4.470
angles: 90.00 90.00 90.00
Last column: magnetic moment on the atom in μB.
Atoms (fractional coordinates):
N: 0.000 0.500 0.000  1.19
N: 0.500 0.000 0.000  1.19
Ca: 0.000 0.000 0.000  0.03
Pb: 0.500 0.500 0.500  -0.07
O: 0.000 0.000 0.500  0.52

Computed properties:
Total DFT energy (no corrections) ... -4.743 eV/atom
Density of states at the Fermi level ... 3.092 states/eV per cell
Formation energy (no corrections) ... 0.7211 eV per atom
Space group ... P4/mmm

=====

[2]
An optimized crystal structure of Nd2VGe4Pt3, computed with PBE.

abc: 4.271 4.271 10.611
angles: 90.00 90.00 90.00
Last column: magnetic moment on the atom in μB.
Atoms (fractional coordinates):
Nd: 0.000 0.500 0.753  -0.01
Nd: 0.500 0.000 0.247  -0.01
Ge: 0.500 0.500 0.000  0.00
Ge: 0.500 0.000 0.634  -0.04
Ge: 0.000 0.500 0.366  -0.04
Ge: 0.000 0.000 0.000  0.00
Pt: 0.500 0.000 0.871  -0.01
Pt: 0.000 0.500 0.129  -0.01
Pt: 0.000 0.000 0.500  0.01
V: 0.500 0.500 0.500  1.69

Computed properties:
Total DFT energy (no corrections) ... -6.350 eV/atom
Density of states at the Fermi level ... 6.003 states/eV per cell
Space group ... P-4m2
Formation energy from the elements ... -825.8 meV/atom

=====

[3]
An optimized crystal structure of LiCrAs, computed with PBE.

abc: 21.844 7.069 7.069
angles: 154.24 163.47 16.53
Atoms (fractional coordinates):
Li: 0.726 0.213 0.787
Li: 0.274 0.787 0.213
Cr: 0.270 0.120 0.880
Cr: 0.730 0.880 0.120
As: 0.221 0.556 0.444
As: 0.779 0.444 0.556

Computed properties:
Total DFT energy (no corrections) ... -5.626 eV/atom
Density of states at the Fermi level ... 1.436 states/eV per cell
Space group ... C2/m
Formation energy from the elements ... -230.7 meV/atom

=====

Repeat the third record exactly.
An optimized crystal structure of LiCrAs, computed with PBE.

abc: 21.844 7.069 7.069
angles: 154.24 163.47 16.53
Atoms (fractional coordinates):
Li: 0.726 0.213 0.787
Li: 0.274 0.787 0.213
Cr: 0.270 0.120 0.880
Cr: 0.730 0.880 0.120
As: 0.221 0.556 0.444
As: 0.779 0.444 0.556

Computed properties:
Total DFT energy (no corrections) ... -5.626 eV/atom
Density of states at the Fermi level ... 1.436 states/eV per cell
Space group ... C2/m
Formation energy from the elements ... -230.7 meV/atom

=====

> total DFT energy (no corrections) of number 1 (CaPbN2O)?

-4.743 eV/atom